DFT (PBE with a Hubbard U) results for a geometry-optimized LiPmNi2O4 structure.

Summary:
Space group: P2/m (10)
VASP energy (eV/f.u.): -46.41
Spin magnetization (μB/f.u.): 4.0

Lattice parameters (Å, degrees): 3.2723 5.3475 5.3642 108.57 90.00 90.00
Fractional coordinates of all 8 atoms:
Pm (0.5000, 0.5000, 0.0000)
O (0.5000, 0.2545, 0.2825)
O (0.0000, 0.7656, 0.2666)
O (0.0000, 0.2344, 0.7334)
O (0.5000, 0.7455, 0.7175)
Ni (0.0000, 0.5000, 0.5000)
Ni (0.5000, 0.0000, 0.5000)
Li (0.0000, 0.0000, 0.0000)